Cr2SiMo: optimized geometry, GGA-PBE.

```
Cr2SiMo
1.0
-0.412 -2.929 -3.595
4.128 -1.499 -1.545
-1.969 0.213 4.213
Cr Mo Si
2 1 1
direct
0.000 0.000 0.000 Cr
0.500 0.500 0.000 Cr
0.250 0.750 0.500 Mo
0.750 0.250 0.500 Si
```

Results
**Formation energy (no corrections)**: -0.008 eV/atom
**Magnetization**: 0.00 μB per atom
**Energy**: -8.88 eV/atom